(1)
{
  "formula": "Tb4Zn6Rh7",
  "functional": "PBE-GGA",
  "state": "relaxed",
  "magmom_total_mub_per_cell": 0.00,
  "spacegroup": "No. 229",
  "dos_at_fermi_per_ev_fu": 12.14,
  "e_form_ev_per_fu": -10.12,
  "lattice_angstrom": [[-5.925, 4.170, -0.539], [-1.469, -6.639, -2.562], [1.997, -0.480, 6.969]],
  "species": ["Zn", "Zn", "Zn", "Zn", "Zn", "Zn", "Rh", "Rh", "Rh", "Rh", "Rh", "Rh", "Rh", "Tb", "Tb", "Tb", "Tb"],
  "frac_coords": [[0.690, 0.000, 0.690], [0.310, 0.000, 0.310], [0.000, 0.310, 0.310], [0.690, 0.690, 0.000], [0.310, 0.310, 0.000], [0.000, 0.690, 0.690], [0.500, 0.750, 0.250], [0.250, 0.750, 0.500], [0.500, 0.250, 0.750], [0.000, 0.000, 0.000], [0.750, 0.250, 0.500], [0.750, 0.500, 0.250], [0.250, 0.500, 0.750], [0.500, 0.000, 0.000], [0.500, 0.500, 0.500], [0.000, 0.000, 0.500], [0.000, 0.500, 0.000]]
}

(2)
{
  "formula": "Tb3Zn2Rh",
  "functional": "PBE-GGA",
  "state": "relaxed",
  "relative_energy_mev_per_atom": 3,
  "magmom_total_mub_per_cell": 0.00,
  "spacegroup": "No. 123",
  "dos_at_fermi_per_ev_fu": 4.04,
  "e_form_ev_per_fu": -3.11,
  "lattice_angstrom": [[3.554, 0.000, 0.000], [0.000, 3.554, 0.000], [0.000, 0.000, 10.528]],
  "species": ["Tb", "Tb", "Tb", "Zn", "Zn", "Rh"],
  "frac_coords": [[0.000, 0.000, 0.655], [0.000, 0.000, 0.345], [0.000, 0.000, 0.000], [0.500, 0.500, 0.832], [0.500, 0.500, 0.168], [0.500, 0.500, 0.500]]
}